## ReWAu2 (PBE)

Data for ReWAu2 after structural relaxation.

For the offset from the most stable computed form, the calculation gives 16.5 meV/atom. The calculation puts the calculated formation energy at 314.8 meV/atom. Its final energy is -7.674 eV/atom. As for the calculated density: 19.02 g cm⁻³. As for the density of states at the Fermi level: 11.9 states/eV/cell.

The structure belongs to space group R3m (No. 160, hexagonal axes); the cell edges are 2.8257, 2.8257 and 28.9306 Å and the angles 90.00°, 90.00° and 120.00°. The inequivalent atoms are Re at (0.0000, 0.0000, 0.0000), W at (0.0000, 0.0000, 0.2552), Au at (0.0000, 0.0000, 0.5048) and Au at (0.0000, 0.0000, 0.7503).